ZrCuAg: PBEsol geometry, SCAN.

Summary:
Its calculated formation energy is -0.11 eV/atom. The value obtained for the density is 8.9 Mg/m³.

abc: 4.496 4.496 2.811
angles: 90.00 90.00 120.00
Sites, in units of the cell vectors:
Zr  0.000  0.000  0.000
Cu  0.333  0.667  0.500
Ag  0.667  0.333  0.500